No. 1
## TbPm2Er8 (PBE)

Data for a relaxed structure of TbPm2Er8. Values from VASP.

The structure in Quantum ESPRESSO input format:
```
&SYSTEM
  ibrav = 0, nat = 11, ntyp = 3
/
ATOMIC_SPECIES
Tb 158.93 Tb.upf
Pm 145.00 Pm.upf
Er 167.26 Er.upf
CELL_PARAMETERS angstrom
-2.742 4.021 7.960
2.742 -4.021 7.960
2.742 4.021 -7.960
ATOMIC_POSITIONS angstrom
Tb 0.000 0.000 0.000
Pm 0.000 0.000 4.760
Pm 0.000 0.000 11.161
Er 2.742 -1.676 5.768
Er 2.742 0.000 2.548
Er 2.742 2.349 0.000
Er 0.000 2.345 2.192
Er 2.742 1.676 5.768
Er 0.000 1.672 7.960
Er 0.000 4.021 5.413
Er 0.000 5.698 2.192
```

Computed properties:
Formation enthalpy at 0 K: 116 meV/atom
Total magnetic moment: 0.00 μB/atom
Volume: 31.913 A^3/atom
SG: Immm (71)
E above lowest polymorph: 0 meV/atom



No. 2
## Tb3Pm4Er (PBE)

Data for a relaxed structure of Tb3Pm4Er. Values from VASP.

The structure in Quantum ESPRESSO input format:
```
&SYSTEM
  ibrav = 0, nat = 8, ntyp = 3
/
ATOMIC_SPECIES
Tb 158.93 Tb.upf
Pm 145.00 Pm.upf
Er 167.26 Er.upf
CELL_PARAMETERS angstrom
11.761 -1.748 0.000
11.761 1.748 0.000
-1.958 0.000 6.521
ATOMIC_POSITIONS angstrom
Tb 0.000 0.000 0.000
Tb 2.139 0.000 2.492
Tb 19.425 0.000 4.029
Pm 1.209 0.000 5.656
Pm 5.588 0.000 1.715
Pm 15.976 0.000 4.806
Pm 20.355 0.000 0.865
Er 10.782 0.000 3.261
```

Computed properties:
Formation enthalpy at 0 K: 163 meV/atom
Total magnetic moment: 0.00 μB/atom
Volume: 33.514 A^3/atom
SG: C2/m (12)
E above lowest polymorph: 138 meV/atom



No. 3
## Tb7Pm3Er2 (PBE)

Data for a relaxed structure of Tb7Pm3Er2. Values from VASP.

The structure in Quantum ESPRESSO input format:
```
&SYSTEM
  ibrav = 0, nat = 12, ntyp = 3
/
ATOMIC_SPECIES
Tb 158.93 Tb.upf
Pm 145.00 Pm.upf
Er 167.26 Er.upf
CELL_PARAMETERS angstrom
3.255 1.879 11.290
-3.255 1.879 11.290
0.000 -3.758 11.290
ATOMIC_POSITIONS angstrom
Tb 0.000 0.000 0.000
Tb 0.000 -1.870 8.480
Tb -1.620 0.935 8.480
Tb -1.620 -0.935 25.390
Tb 1.620 0.935 8.480
Tb 1.620 -0.935 25.390
Tb 0.000 1.870 25.390
Pm 0.000 0.000 11.687
Pm 0.000 0.000 16.935
Pm 0.000 0.000 22.184
Er 0.000 0.000 5.644
Er 0.000 0.000 28.227
```

Computed properties:
Formation enthalpy at 0 K: 290 meV/atom
Total magnetic moment: 0.00 μB/atom
Volume: 34.527 A^3/atom
SG: R-3m (166)
E above lowest polymorph: 203 meV/atom



No. 4
## Tb6Pm3Er (PBE)

Data for a relaxed structure of Tb6Pm3Er. Values from VASP.

The structure in Quantum ESPRESSO input format:
```
&SYSTEM
  ibrav = 0, nat = 20, ntyp = 3
/
ATOMIC_SPECIES
Tb 158.93 Tb.upf
Pm 145.00 Pm.upf
Er 167.26 Er.upf
CELL_PARAMETERS angstrom
5.466 -9.479 0.000
5.466 9.479 0.000
0.000 0.000 6.362
ATOMIC_POSITIONS angstrom
Tb 5.466 8.735 3.181
Tb 2.861 3.973 0.042
Tb 5.466 4.291 4.615
Tb 3.632 0.853 5.241
Tb 3.632 -0.853 2.060
Tb 2.861 -3.973 3.223
Tb 8.072 3.973 0.042
Tb 7.301 0.853 5.241
Tb 7.301 -0.853 2.060
Tb 5.466 -4.291 1.434
Tb 8.072 -3.973 3.223
Tb 5.466 -8.735 0.000
Pm 1.905 2.155 2.619
Pm 1.905 -2.155 5.800
Pm 5.466 2.132 1.917
Pm 5.466 -2.132 5.098
Pm 9.028 2.155 2.619
Pm 9.028 -2.155 5.800
Er 5.466 5.766 1.570
Er 5.466 -5.766 4.751
```

Computed properties:
Formation enthalpy at 0 K: 147 meV/atom
Total magnetic moment: 0.00 μB/atom
Volume: 32.960 A^3/atom
SG: Cmc2_1 (36)
E above lowest polymorph: 0 meV/atom



No. 5
## Tb2PmEr3 (PBE)

Data for a relaxed structure of Tb2PmEr3. Values from VASP.

The structure in Quantum ESPRESSO input format:
```
&SYSTEM
  ibrav = 0, nat = 12, ntyp = 3
/
ATOMIC_SPECIES
Tb 158.93 Tb.upf
Pm 145.00 Pm.upf
Er 167.26 Er.upf
CELL_PARAMETERS angstrom
10.962 -1.814 0.000
10.962 1.814 0.000
-5.787 0.000 9.666
ATOMIC_POSITIONS angstrom
Tb 0.159 0.000 1.790
Tb 2.289 0.000 6.294
Tb 13.849 0.000 3.372
Tb 15.978 0.000 7.876
Pm 8.428 0.000 0.138
Pm 7.709 0.000 9.528
Er -2.708 0.000 6.545
Er 5.225 0.000 1.489
Er 5.568 0.000 4.951
Er 10.570 0.000 4.715
Er 10.913 0.000 8.178
Er 18.846 0.000 3.121
```

Computed properties:
Formation enthalpy at 0 K: 10 meV/atom
Total magnetic moment: 0.00 μB/atom
Volume: 32.043 A^3/atom
SG: C2/m (12)
E above lowest polymorph: 0 meV/atom



No. 6
## Tb2Pm3Er2 (PBE)

Data for a relaxed structure of Tb2Pm3Er2. Values from VASP.

The structure in Quantum ESPRESSO input format:
```
&SYSTEM
  ibrav = 0, nat = 7, ntyp = 3
/
ATOMIC_SPECIES
Tb 158.93 Tb.upf
Pm 145.00 Pm.upf
Er 167.26 Er.upf
CELL_PARAMETERS angstrom
5.653 -2.533 0.000
5.653 2.533 0.000
-1.143 0.000 7.946
ATOMIC_POSITIONS angstrom
Tb 2.266 0.000 1.126
Tb 7.896 0.000 6.820
Pm 3.389 0.000 4.541
Pm 5.653 0.000 0.000
Pm 6.773 0.000 3.405
Er -0.006 0.000 5.678
Er 10.168 0.000 2.267
```

Computed properties:
Formation enthalpy at 0 K: 16 meV/atom
Total magnetic moment: 0.00 μB/atom
Volume: 32.501 A^3/atom
SG: C2/m (12)
E above lowest polymorph: 0 meV/atom



No. 7
## Tb8PmEr2 (PBE)

Data for a relaxed structure of Tb8PmEr2. Values from VASP.

The structure in Quantum ESPRESSO input format:
```
&SYSTEM
  ibrav = 0, nat = 11, ntyp = 3
/
ATOMIC_SPECIES
Tb 158.93 Tb.upf
Pm 145.00 Pm.upf
Er 167.26 Er.upf
CELL_PARAMETERS angstrom
4.515 -8.192 0.000
4.515 8.192 0.000
-3.376 0.000 4.833
ATOMIC_POSITIONS angstrom
Tb -0.336 1.990 3.322
Tb 4.515 4.832 0.000
Tb -0.336 -1.990 3.322
Tb 3.220 0.000 1.006
Tb 2.433 0.000 3.827
Tb 5.990 1.990 1.511
Tb 4.515 -4.832 0.000
Tb 5.990 -1.990 1.511
Pm 0.000 0.000 0.000
Er 2.827 3.114 2.417
Er 2.827 -3.114 2.417
```

Computed properties:
Formation enthalpy at 0 K: 154 meV/atom
Total magnetic moment: 0.00 μB/atom
Volume: 32.505 A^3/atom
SG: C2/m (12)
E above lowest polymorph: 40 meV/atom



No. 8
## Tb4Pm8Er (PBE)

Data for a relaxed structure of Tb4Pm8Er. Values from VASP.

The structure in Quantum ESPRESSO input format:
```
&SYSTEM
  ibrav = 0, nat = 13, ntyp = 3
/
ATOMIC_SPECIES
Tb 158.93 Tb.upf
Pm 145.00 Pm.upf
Er 167.26 Er.upf
CELL_PARAMETERS angstrom
3.648 2.106 9.557
-3.648 2.106 9.557
0.000 -4.213 9.557
ATOMIC_POSITIONS angstrom
Tb 0.000 0.000 0.000
Tb -1.824 -1.053 9.557
Tb -1.824 1.053 19.114
Tb 0.000 2.106 9.557
Pm -1.997 -1.153 16.307
Pm 0.000 0.000 6.096
Pm 0.000 -2.305 12.363
Pm -1.997 1.153 12.363
Pm 1.997 -1.153 16.307
Pm 0.000 2.305 16.307
Pm 0.000 0.000 22.575
Pm 1.997 1.153 12.363
Er 0.000 0.000 14.335
```

Computed properties:
Formation enthalpy at 0 K: 198 meV/atom
Total magnetic moment: 0.00 μB/atom
Volume: 33.898 A^3/atom
SG: R-3m (166)



No. 9
## Tb6Pm3Er (PBE)

Data for a relaxed structure of Tb6Pm3Er. Values from VASP.

The structure in Quantum ESPRESSO input format:
```
&SYSTEM
  ibrav = 0, nat = 10, ntyp = 3
/
ATOMIC_SPECIES
Tb 158.93 Tb.upf
Pm 145.00 Pm.upf
Er 167.26 Er.upf
CELL_PARAMETERS angstrom
6.175 0.000 0.000
0.711 6.358 0.000
0.574 0.177 8.544
ATOMIC_POSITIONS angstrom
Tb 0.582 1.534 3.161
Tb 2.537 3.070 7.796
Tb 3.902 6.252 6.441
Tb 3.558 0.283 2.103
Tb 4.924 3.465 0.749
Tb 6.879 5.000 5.383
Pm 1.606 4.509 2.246
Pm 3.730 3.267 4.272
Pm 5.854 2.025 6.298
Er 0.000 0.000 0.000
```

Computed properties:
Formation enthalpy at 0 K: 229 meV/atom
Total magnetic moment: 0.00 μB/atom
Volume: 33.546 A^3/atom
SG: P-1 (2)
E above lowest polymorph: 82 meV/atom



No. 10
## TbPm2Er8 (PBE)

Data for a relaxed structure of TbPm2Er8. Values from VASP.

The structure in Quantum ESPRESSO input format:
```
&SYSTEM
  ibrav = 0, nat = 11, ntyp = 3
/
ATOMIC_SPECIES
Tb 158.93 Tb.upf
Pm 145.00 Pm.upf
Er 167.26 Er.upf
CELL_PARAMETERS angstrom
4.501 -7.984 0.000
4.501 7.984 0.000
-3.203 0.000 4.901
ATOMIC_POSITIONS angstrom
Tb 0.000 0.000 0.000
Pm 2.899 3.085 2.451
Pm 2.899 -3.085 2.451
Er -0.230 1.860 3.305
Er 4.501 4.672 0.000
Er -0.230 -1.860 3.305
Er 3.217 0.000 1.001
Er 2.581 0.000 3.900
Er 6.029 1.860 1.597
Er 4.501 -4.672 0.000
Er 6.029 -1.860 1.597
```

Computed properties:
Formation enthalpy at 0 K: 161 meV/atom
Total magnetic moment: 0.00 μB/atom
Volume: 32.026 A^3/atom
SG: C2/m (12)
E above lowest polymorph: 44 meV/atom